Entry 1:
{
  "formula": "Tm2Ga2Au",
  "functional": "GGA-PBE",
  "state": "relaxed",
  "lattice_angstrom": [[5.276, -2.194, 0.000], [5.276, 2.194, 0.000], [-4.734, 0.000, 9.262]],
  "species": ["Tm", "Tm", "Tm", "Tm", "Ga", "Ga", "Ga", "Ga", "Au", "Au"],
  "fractional_positions": [[0.011, 0.011, 0.327], [0.183, 0.183, 0.107], [0.817, 0.817, 0.893], [0.989, 0.989, 0.673], [0.364, 0.364, 0.442], [0.468, 0.468, 0.108], [0.532, 0.532, 0.892], [0.636, 0.636, 0.558], [0.275, 0.275, 0.664], [0.725, 0.725, 0.336]],
  "m_tot_mub_per_fu": 0.0,
  "e_tot_ev_per_cell": -43.79,
  "dos_at_fermi_per_ev_cell": 3.69
}

***

Entry 2:
{
  "formula": "TbZn5Ni2Ir",
  "functional": "GGA-PBE",
  "state": "relaxed",
  "lattice_angstrom": [[4.613, 0.000, 0.000], [0.000, 4.613, 0.000], [0.000, 0.000, 6.858]],
  "species": ["Tb", "Zn", "Zn", "Zn", "Zn", "Zn", "Ni", "Ni", "Ir"],
  "fractional_positions": [[0.000, 0.000, 0.000], [0.000, 0.500, 0.301], [0.000, 0.500, 0.699], [0.500, 0.000, 0.301], [0.500, 0.000, 0.699], [0.500, 0.500, 0.000], [0.500, 0.500, 0.335], [0.500, 0.500, 0.665], [0.000, 0.000, 0.500]],
  "m_tot_mub_per_fu": 0.0,
  "e_tot_ev_per_cell": -32.00,
  "dos_at_fermi_per_ev_cell": 7.81
}

***

Entry 3:
{
  "formula": "MgGa2Te",
  "functional": "GGA-PBE",
  "state": "relaxed",
  "lattice_angstrom": [[0.000, 3.594, 3.594], [3.594, 0.000, 3.594], [3.594, 3.594, 0.000]],
  "species": ["Mg", "Ga", "Ga", "Te"],
  "fractional_positions": [[0.000, 0.000, 0.000], [0.250, 0.250, 0.250], [0.750, 0.750, 0.750], [0.500, 0.500, 0.500]],
  "m_tot_mub_per_fu": 0.0,
  "e_tot_ev_per_cell": -10.59,
  "dos_at_fermi_per_ev_cell": 1.76,
  "raw_formation_energy_mev_per_atom": 49.1
}

***

Entry 4:
{
  "formula": "PaCo3Si",
  "functional": "GGA-PBE",
  "state": "relaxed",
  "lattice_angstrom": [[5.170, 0.000, 0.000], [-2.585, 4.477, 0.000], [0.000, 0.000, 13.008]],
  "species": ["Pa", "Pa", "Pa", "Pa", "Co", "Co", "Co", "Co", "Co", "Co", "Co", "Co", "Co", "Co", "Co", "Co", "Si", "Si", "Si", "Si"],
  "fractional_positions": [[0.000, 0.000, 0.000], [0.000, 0.000, 0.500], [0.333, 0.667, 0.250], [0.667, 0.333, 0.750], [0.000, 0.500, 0.000], [0.000, 0.500, 0.500], [0.154, 0.309, 0.750], [0.154, 0.846, 0.750], [0.309, 0.154, 0.250], [0.500, 0.000, 0.000], [0.500, 0.000, 0.500], [0.500, 0.500, 0.000], [0.500, 0.500, 0.500], [0.691, 0.846, 0.750], [0.846, 0.154, 0.250], [0.846, 0.691, 0.250], [0.333, 0.667, 0.629], [0.333, 0.667, 0.871], [0.667, 0.333, 0.129], [0.667, 0.333, 0.371]],
  "m_tot_mub_per_fu": 0.0,
  "e_tot_ev_per_cell": -152.21,
  "dos_at_fermi_per_ev_cell": 13.07,
  "raw_formation_energy_mev_per_atom": -363.1
}

***

Entry 5:
{
  "formula": "DyEr3Cd3",
  "functional": "GGA-PBE",
  "state": "relaxed",
  "lattice_angstrom": [[5.282, -5.328, 0.000], [5.282, 5.328, 0.000], [0.000, 0.000, 6.902]],
  "species": ["Dy", "Dy", "Er", "Er", "Er", "Er", "Er", "Er", "Cd", "Cd", "Cd", "Cd", "Cd", "Cd"],
  "fractional_positions": [[0.243, 0.243, 0.000], [0.757, 0.757, 0.000], [0.236, 0.764, 0.500], [0.288, 0.712, 0.000], [0.295, 0.295, 0.500], [0.705, 0.705, 0.500], [0.712, 0.288, 0.000], [0.764, 0.236, 0.500], [0.000, 0.000, 0.247], [0.000, 0.000, 0.753], [0.000, 0.500, 0.251], [0.000, 0.500, 0.749], [0.500, 0.000, 0.251], [0.500, 0.000, 0.749]],
  "m_tot_mub_per_fu": 0.0,
  "e_tot_ev_per_cell": -43.91,
  "dos_at_fermi_per_ev_cell": 13.00
}

***

Entry 6:
{
  "formula": "Hf2AlV2Fe5",
  "functional": "GGA-PBE",
  "state": "relaxed",
  "lattice_angstrom": [[9.416, 0.000, 0.000], [0.000, 9.416, 0.000], [0.000, 0.000, 3.104]],
  "species": ["Hf", "Hf", "Hf", "Hf", "Al", "Al", "V", "V", "V", "V", "Fe", "Fe", "Fe", "Fe", "Fe", "Fe", "Fe", "Fe", "Fe", "Fe"],
  "fractional_positions": [[0.176, 0.324, 0.000], [0.324, 0.824, 0.000], [0.676, 0.176, 0.000], [0.824, 0.676, 0.000], [0.000, 0.000, 0.000], [0.500, 0.500, 0.000], [0.124, 0.624, 0.000], [0.376, 0.124, 0.000], [0.624, 0.876, 0.000], [0.876, 0.376, 0.000], [0.000, 0.500, 0.500], [0.061, 0.794, 0.500], [0.206, 0.061, 0.500], [0.294, 0.561, 0.500], [0.439, 0.294, 0.500], [0.500, 0.000, 0.500], [0.561, 0.706, 0.500], [0.706, 0.439, 0.500], [0.794, 0.939, 0.500], [0.939, 0.206, 0.500]],
  "m_tot_mub_per_fu": 0.0,
  "e_tot_ev_per_cell": -169.34,
  "dos_at_fermi_per_ev_cell": 12.27
}

***

Entry 7:
{
  "formula": "TbNdSm2Y2",
  "functional": "GGA-PBE",
  "state": "relaxed",
  "lattice_angstrom": [[6.658, 0.000, 0.000], [0.000, 18.008, 0.000], [0.000, 0.000, 3.409]],
  "species": ["Tb", "Tb", "Nd", "Nd", "Sm", "Sm", "Sm", "Sm", "Y", "Y", "Y", "Y"],
  "fractional_positions": [[0.000, 0.000, 0.000], [0.500, 0.500, 0.500], [0.000, 0.500, 0.000], [0.500, 0.000, 0.500], [0.229, 0.317, 0.000], [0.271, 0.817, 0.500], [0.729, 0.183, 0.500], [0.771, 0.683, 0.000], [0.225, 0.149, 0.500], [0.275, 0.649, 0.000], [0.725, 0.351, 0.000], [0.775, 0.851, 0.500]],
  "m_tot_mub_per_fu": 0.0,
  "e_tot_ev_per_cell": -60.21,
  "dos_at_fermi_per_ev_cell": 21.40
}

***

Entry 8:
{
  "formula": "RbRhPbO6",
  "functional": "GGA-PBE",
  "state": "relaxed",
  "lattice_angstrom": [[2.720, -5.050, 0.000], [2.720, 5.050, 0.000], [-0.222, 0.000, 6.185]],
  "species": ["Rb", "Rh", "Pb", "O", "O", "O", "O", "O", "O"],
  "fractional_positions": [[0.000, 0.000, 0.000], [0.338, 0.662, 0.500], [0.657, 0.343, 0.500], [0.028, 0.617, 0.689], [0.040, 0.447, 0.304], [0.345, 0.390, 0.670], [0.383, 0.972, 0.311], [0.553, 0.960, 0.696], [0.610, 0.655, 0.330]],
  "m_tot_mub_per_fu": 1.9,
  "e_tot_ev_per_cell": -47.40,
  "dos_at_fermi_per_ev_cell": 2.35,
  "raw_formation_energy_mev_per_atom": -624.8
}

***

Entry 9:
{
  "formula": "AcLuAl",
  "functional": "GGA-PBE",
  "state": "relaxed",
  "lattice_angstrom": [[-1.832, 1.832, 6.752], [1.832, -1.832, 6.752], [1.832, 1.832, -6.752]],
  "species": ["Ac", "Lu", "Al"],
  "fractional_positions": [[0.000, 0.000, 0.000], [0.290, 0.290, 0.000], [0.667, 0.667, 0.000]],
  "m_tot_mub_per_fu": 0.0,
  "e_tot_ev_per_cell": -12.81,
  "dos_at_fermi_per_ev_cell": 1.54
}

***

Entry 10:
{
  "formula": "Np2UIn9",
  "functional": "GGA-PBE",
  "state": "relaxed",
  "lattice_angstrom": [[4.643, 0.000, 0.000], [0.000, 4.643, 0.000], [0.000, 0.000, 13.911]],
  "species": ["Np", "Np", "U", "In", "In", "In", "In", "In", "In", "In", "In", "In"],
  "fractional_positions": [[0.000, 0.000, 0.167], [0.000, 0.000, 0.833], [0.000, 0.000, 0.500], [0.000, 0.500, 0.000], [0.000, 0.500, 0.333], [0.000, 0.500, 0.667], [0.500, 0.000, 0.000], [0.500, 0.000, 0.333], [0.500, 0.000, 0.667], [0.500, 0.500, 0.166], [0.500, 0.500, 0.500], [0.500, 0.500, 0.834]],
  "m_tot_mub_per_fu": 11.3,
  "e_tot_ev_per_cell": -61.84,
  "dos_at_fermi_per_ev_cell": 27.59
}

***

Entry 11:
{
  "formula": "ZrVOs",
  "functional": "GGA-PBE",
  "state": "relaxed",
  "lattice_angstrom": [[-2.581, 2.712, 3.581], [2.581, -2.712, 3.581], [2.581, 2.712, -3.581]],
  "species": ["Zr", "Zr", "V", "V", "Os", "Os"],
  "fractional_positions": [[0.379, 0.129, 0.250], [0.621, 0.871, 0.750], [0.000, 0.000, 0.500], [0.000, 0.500, 0.000], [0.000, 0.500, 0.500], [0.500, 0.500, 0.000]],
  "m_tot_mub_per_fu": 0.0,
  "e_tot_ev_per_cell": -60.48,
  "dos_at_fermi_per_ev_cell": 5.03
}

***

Entry 12:
{
  "formula": "Ce8H3C4O",
  "functional": "GGA-PBE",
  "state": "relaxed",
  "lattice_angstrom": [[3.591, 2.073, 5.900], [-3.591, 2.073, 5.900], [0.000, -4.147, 5.900]],
  "species": ["Ce", "Ce", "Ce", "Ce", "Ce", "Ce", "Ce", "Ce", "H", "H", "H", "C", "C", "C", "C", "O"],
  "fractional_positions": [[0.245, 0.245, 0.245], [0.245, 0.750, 0.750], [0.250, 0.250, 0.755], [0.250, 0.755, 0.250], [0.750, 0.245, 0.750], [0.750, 0.750, 0.245], [0.755, 0.250, 0.250], [0.755, 0.755, 0.755], [0.000, 0.500, 0.500], [0.500, 0.000, 0.500], [0.500, 0.500, 0.000], [0.000, 0.000, 0.500], [0.000, 0.500, 0.000], [0.500, 0.000, 0.000], [0.500, 0.500, 0.500], [0.000, 0.000, 0.000]],
  "m_tot_mub_per_fu": 0.0,
  "e_tot_ev_per_cell": -109.57,
  "dos_at_fermi_per_ev_cell": 21.76
}